No. 1
# AgI3Cl

AgI3Cl after structural relaxation (GGA-PBE, Alexandria via LeMat-Bulk).

CIF file:
```
data_AgI3Cl
_chemical_formula_sum 'Ag1 I3 Cl1'
_cell_length_a 5.6429
_cell_length_b 5.6429
_cell_length_c 5.6429
_cell_angle_alpha 90.00
_cell_angle_beta 90.00
_cell_angle_gamma 90.00
_space_group_name_H-M_alt 'P m -3 m'
_space_group_IT_number 221
_space_group_name_Hall '-P 4 2 3'
loop_
_atom_site_label
_atom_site_fract_x
_atom_site_fract_y
_atom_site_fract_z
Ag1 0.0000 0.0000 0.0000
I1 0.0000 0.0000 0.5000
Cl1 0.5000 0.5000 0.5000
```

Formation energy without anion corrections, kJ/mol of formula units: 140
DOS at the Fermi energy, states/eV per atom: 1.644



No. 2
# Ag3ICl2

Ag3ICl2 after structural relaxation (GGA-PBE, Alexandria via LeMat-Bulk).

CIF file:
```
data_Ag3ICl2
_chemical_formula_sum 'Ag12 I4 Cl8'
_cell_length_a 7.6271
_cell_length_b 13.2112
_cell_length_c 7.6659
_cell_angle_alpha 90.00
_cell_angle_beta 109.75
_cell_angle_gamma 90.00
_space_group_name_H-M_alt 'C 1 c 1'
_space_group_IT_number 9
loop_
_space_group_symop_operation_xyz
'x,y,z'
'x,-y,z+1/2'
'x+1/2,y+1/2,z'
'x+1/2,-y+1/2,z+1/2'
loop_
_atom_site_label
_atom_site_fract_x
_atom_site_fract_y
_atom_site_fract_z
Ag1 0.0000 0.0807 0.0000
Ag2 0.4801 0.2627 0.9982
Ag3 0.4810 0.0921 0.4700
I1 0.1086 0.4103 0.3617
Cl1 0.1121 0.0814 0.3649
Cl2 0.1118 0.2440 0.8636
```

Formation energy without anion corrections, kJ/mol of formula units: -218



No. 3
# AgI2Cl2

AgI2Cl2 after structural relaxation (GGA-PBE, Alexandria via LeMat-Bulk).

CIF file:
```
data_AgI2Cl2
_chemical_formula_sum 'Ag2 I4 Cl4'
_cell_length_a 7.8083
_cell_length_b 7.8073
_cell_length_c 7.6425
_cell_angle_alpha 90.00
_cell_angle_beta 120.14
_cell_angle_gamma 90.00
_space_group_name_H-M_alt 'C 1 2/m 1'
_space_group_IT_number 12
loop_
_space_group_symop_operation_xyz
'x,y,z'
'-x,-y,-z'
'-x,y,-z'
'x,-y,z'
'x+1/2,y+1/2,z'
'-x+1/2,-y+1/2,-z'
'-x+1/2,y+1/2,-z'
'x+1/2,-y+1/2,z'
loop_
_atom_site_label
_atom_site_fract_x
_atom_site_fract_y
_atom_site_fract_z
Ag1 0.0000 0.0000 0.0000
I1 0.1047 0.5000 0.2073
Cl1 0.1762 0.0000 0.3527
```

Formation energy without anion corrections, kJ/mol of formula units: -24
DOS at the Fermi energy, states/eV per atom: 1.111



No. 4
# Ag3I3Cl

Ag3I3Cl after structural relaxation (GGA-PBE, Alexandria via LeMat-Bulk).

CIF file:
```
data_Ag3I3Cl
_chemical_formula_sum 'Ag12 I12 Cl4'
_cell_length_a 9.5203
_cell_length_b 16.4846
_cell_length_c 6.0072
_cell_angle_alpha 90.00
_cell_angle_beta 90.00
_cell_angle_gamma 90.00
_space_group_name_H-M_alt 'C m c m'
_space_group_IT_number 63
_space_group_name_Hall '-C 2c 2'
loop_
_atom_site_label
_atom_site_fract_x
_atom_site_fract_y
_atom_site_fract_z
Ag1 0.0000 0.1759 0.2500
Ag2 0.2354 0.4121 0.2500
I1 0.0000 0.1729 0.7500
I2 0.2399 0.4135 0.7500
Cl1 0.0000 0.3331 0.2500
```

Formation energy without anion corrections, kJ/mol of formula units: -151
DOS at the Fermi energy, states/eV per atom: 0.656



No. 5
# Ag4ICl4

Ag4ICl4 after structural relaxation (GGA-PBE, Alexandria via LeMat-Bulk).

CIF file:
```
data_Ag4ICl4
_chemical_formula_sum 'Ag16 I4 Cl16'
_cell_length_a 11.4979
_cell_length_b 9.7101
_cell_length_c 8.8288
_cell_angle_alpha 90.00
_cell_angle_beta 90.00
_cell_angle_gamma 90.00
_space_group_name_H-M_alt 'C m c m'
_space_group_IT_number 63
_space_group_name_Hall '-C 2c 2'
loop_
_atom_site_label
_atom_site_fract_x
_atom_site_fract_y
_atom_site_fract_z
Ag1 0.0000 0.2121 0.0351
Ag2 0.2316 0.4576 0.7500
I1 0.0000 0.3492 0.7500
Cl1 0.1538 0.0000 0.0000
Cl2 0.1601 0.2847 0.2500
```

Formation energy without anion corrections, kJ/mol of formula units: -314
DOS at the Fermi energy, states/eV per atom: 0.871



No. 6
# Ag3I2Cl

Ag3I2Cl after structural relaxation (GGA-PBE, Alexandria via LeMat-Bulk).

CIF file:
```
data_Ag3I2Cl
_chemical_formula_sum 'Ag6 I4 Cl2'
_cell_length_a 4.5663
_cell_length_b 13.7002
_cell_length_c 6.3689
_cell_angle_alpha 90.00
_cell_angle_beta 90.00
_cell_angle_gamma 90.00
_space_group_name_H-M_alt 'I m m 2'
_space_group_IT_number 44
loop_
_space_group_symop_operation_xyz
'x,y,z'
'-x,-y,z'
'-x,y,z'
'x,-y,z'
'x+1/2,y+1/2,z+1/2'
'-x+1/2,-y+1/2,z+1/2'
'-x+1/2,y+1/2,z+1/2'
'x+1/2,-y+1/2,z+1/2'
loop_
_atom_site_label
_atom_site_fract_x
_atom_site_fract_y
_atom_site_fract_z
Ag1 0.0000 0.0000 0.0000
Ag2 0.0000 0.3409 0.0417
I1 0.0000 0.1635 0.2756
Cl1 0.0000 0.5000 0.2792
```

Formation energy without anion corrections, kJ/mol of formula units: -182



No. 7
# AgICl4

AgICl4 after structural relaxation (GGA-PBE, Alexandria via LeMat-Bulk).

CIF file:
```
data_AgICl4
_chemical_formula_sum 'Ag4 I4 Cl16'
_cell_length_a 8.2600
_cell_length_b 8.2600
_cell_length_c 10.5460
_cell_angle_alpha 90.00
_cell_angle_beta 90.00
_cell_angle_gamma 90.00
_space_group_name_H-M_alt 'I 41/a m d'
_space_group_IT_number 141
loop_
_space_group_symop_operation_xyz
'x,y,z'
'-x,-y,-z'
'-y+1/4,x+3/4,z+1/4'
'y+1/4,-x+3/4,-z+1/4'
'-x+1/2,-y,z+1/2'
'x+1/2,y,-z+1/2'
'y+1/4,-x+1/4,z+3/4'
'-y+1/4,x+1/4,-z+3/4'
'x,-y,-z'
'-x,y,z'
'-y+1/4,-x+1/4,-z+3/4'
'y+1/4,x+1/4,z+3/4'
'-x+1/2,y,-z+1/2'
'x+1/2,-y,z+1/2'
'y+1/4,x+3/4,-z+1/4'
'-y+1/4,-x+3/4,z+1/4'
'x+1/2,y+1/2,z+1/2'
'-x+1/2,-y+1/2,-z+1/2'
'-y+3/4,x+1/4,z+3/4'
'y+3/4,-x+1/4,-z+3/4'
'-x,-y+1/2,z'
'x,y+1/2,-z'
'y+3/4,-x+3/4,z+1/4'
'-y+3/4,x+3/4,-z+1/4'
'x+1/2,-y+1/2,-z+1/2'
'-x+1/2,y+1/2,z+1/2'
'-y+3/4,-x+3/4,-z+1/4'
'y+3/4,x+3/4,z+1/4'
'-x,y+1/2,-z'
'x,-y+1/2,z'
'y+3/4,x+1/4,-z+3/4'
'-y+3/4,-x+1/4,z+3/4'
loop_
_atom_site_label
_atom_site_fract_x
_atom_site_fract_y
_atom_site_fract_z
Ag1 0.0000 0.2500 0.3750
I1 0.0000 0.2500 0.8750
Cl1 0.0000 0.0483 0.6668
```

Formation energy without anion corrections, kJ/mol of formula units: -6
DOS at the Fermi energy, states/eV per atom: 0.603



No. 8
# AgI3Cl

AgI3Cl after structural relaxation (GGA-PBE, Alexandria via LeMat-Bulk).

CIF file:
```
data_AgI3Cl
_chemical_formula_sum 'Ag1 I3 Cl1'
_cell_length_a 5.7549
_cell_length_b 5.7549
_cell_length_c 5.7549
_cell_angle_alpha 90.00
_cell_angle_beta 90.00
_cell_angle_gamma 90.00
_space_group_name_H-M_alt 'P m -3 m'
_space_group_IT_number 221
_space_group_name_Hall '-P 4 2 3'
loop_
_atom_site_label
_atom_site_fract_x
_atom_site_fract_y
_atom_site_fract_z
Ag1 0.0000 0.0000 0.0000
I1 0.0000 0.5000 0.5000
Cl1 0.5000 0.5000 0.5000
```

Formation energy without anion corrections, kJ/mol of formula units: 229
DOS at the Fermi energy, states/eV per atom: 0.291



No. 9
# Ag3I2Cl2

Ag3I2Cl2 after structural relaxation (GGA-PBE, Alexandria via LeMat-Bulk).

CIF file:
```
data_Ag3I2Cl2
_chemical_formula_sum 'Ag6 I4 Cl4'
_cell_length_a 13.8297
_cell_length_b 4.0345
_cell_length_c 7.3184
_cell_angle_alpha 90.00
_cell_angle_beta 101.01
_cell_angle_gamma 90.00
_space_group_name_H-M_alt 'C 1 2/m 1'
_space_group_IT_number 12
loop_
_space_group_symop_operation_xyz
'x,y,z'
'-x,-y,-z'
'-x,y,-z'
'x,-y,z'
'x+1/2,y+1/2,z'
'-x+1/2,-y+1/2,-z'
'-x+1/2,y+1/2,-z'
'x+1/2,-y+1/2,z'
loop_
_atom_site_label
_atom_site_fract_x
_atom_site_fract_y
_atom_site_fract_z
Ag1 0.0000 0.0000 0.0000
Ag2 0.2422 0.0000 0.7268
I1 0.1118 0.5000 0.8474
Cl1 0.1501 0.0000 0.3414
```

Formation energy without anion corrections, kJ/mol of formula units: -199
DOS at the Fermi energy, states/eV per atom: 0.527



No. 10
# AgICl5

AgICl5 after structural relaxation (GGA-PBE, Alexandria via LeMat-Bulk).

CIF file:
```
data_AgICl5
_chemical_formula_sum 'Ag2 I2 Cl10'
_cell_length_a 8.3338
_cell_length_b 8.5984
_cell_length_c 8.6364
_cell_angle_alpha 65.83
_cell_angle_beta 72.20
_cell_angle_gamma 89.91
_space_group_name_H-M_alt 'P -1'
_space_group_IT_number 2
loop_
_space_group_symop_operation_xyz
'x,y,z'
'-x,-y,-z'
loop_
_atom_site_label
_atom_site_fract_x
_atom_site_fract_y
_atom_site_fract_z
Ag1 0.0000 0.0000 0.0000
Ag2 0.0000 0.5000 0.5000
I1 0.2607 0.4758 0.8497
Cl1 0.0603 0.7986 0.2672
Cl2 0.2456 0.3956 0.1589
Cl3 0.2508 0.7776 0.7836
Cl4 0.2854 0.5512 0.5100
Cl5 0.2870 0.1499 0.9018
```

Formation energy without anion corrections, kJ/mol of formula units: -165
DOS at the Fermi energy, states/eV per atom: 0.245



No. 11
# Ag3ICl2

Ag3ICl2 after structural relaxation (GGA-PBE, Alexandria via LeMat-Bulk).

CIF file:
```
data_Ag3ICl2
_chemical_formula_sum 'Ag6 I2 Cl4'
_cell_length_a 4.5230
_cell_length_b 13.0830
_cell_length_c 6.8483
_cell_angle_alpha 90.00
_cell_angle_beta 90.00
_cell_angle_gamma 90.00
_space_group_name_H-M_alt 'P m m n'
_space_group_IT_number 59
loop_
_space_group_symop_operation_xyz
'x,y,z'
'-x,-y,-z'
'-x+1/2,-y+1/2,z'
'x+1/2,y+1/2,-z'
'x+1/2,-y,-z'
'-x+1/2,y,z'
'-x,y+1/2,-z'
'x,-y+1/2,z'
loop_
_atom_site_label
_atom_site_fract_x
_atom_site_fract_y
_atom_site_fract_z
Ag1 0.2500 0.1087 0.0900
Ag2 0.2500 0.7500 0.3632
I1 0.2500 0.2500 0.3914
Cl1 0.2500 0.5988 0.1115
```

Formation energy without anion corrections, kJ/mol of formula units: -213



No. 12
# AgICl6

AgICl6 after structural relaxation (GGA-PBE, Alexandria via LeMat-Bulk).

CIF file:
```
data_AgICl6
_chemical_formula_sum 'Ag1 I1 Cl6'
_cell_length_a 6.7168
_cell_length_b 6.7177
_cell_length_c 7.1153
_cell_angle_alpha 61.91
_cell_angle_beta 61.85
_cell_angle_gamma 60.06
_space_group_name_H-M_alt 'P -1'
_space_group_IT_number 2
loop_
_space_group_symop_operation_xyz
'x,y,z'
'-x,-y,-z'
loop_
_atom_site_label
_atom_site_fract_x
_atom_site_fract_y
_atom_site_fract_z
Ag1 0.0000 0.0000 0.0000
I1 0.5000 0.5000 0.5000
Cl1 0.1193 0.4009 0.7445
Cl2 0.2652 0.8801 0.2555
Cl3 0.4010 0.7351 0.7449
```

Formation energy without anion corrections, kJ/mol of formula units: -139



Volume, record by record: 179.7 727.0 402.9 942.8 985.7 398.4 719.5 190.6 400.8 532.1 405.2 233.4 Å³/cell